# 1
MnAs2Pd7: optimized geometry, GGA-PBE.

```
MnAs2Pd7
1.0
3.739 -7.987 0.000
3.739 7.987 0.000
0.000 0.000 2.925
Mn As Pd
1 2 7
Direct
0.000 0.000 0.000
0.345 0.655 0.500
0.655 0.345 0.500
0.088 0.295 0.500
0.224 0.776 0.000
0.295 0.088 0.500
0.500 0.500 0.500
0.705 0.912 0.500
0.776 0.224 0.000
0.912 0.705 0.500
```

- SG = Cmmm, No. 65
- V (Å³ per atom) = 17.5
- energy relative to the elements (eV/atom) = -0.090
- density of states at the Fermi level (states/eV per cell) = 7.57

# 2
Ba2BeW: optimized geometry, GGA-PBE.

```
Ba2BeW
1.0
3.247 0.000 0.000
0.000 3.247 0.000
0.000 0.000 10.080
Ba Be W
2 1 1
Direct
0.000 0.000 0.239
0.000 0.000 0.761
0.500 0.500 0.000
0.500 0.500 0.500
```

- SG = P4/mmm, No. 123
- V (Å³ per atom) = 26.6
- energy relative to the elements (eV/atom) = 1.338
- density of states at the Fermi level (states/eV per cell) = 2.79

# 3
SmVAu: optimized geometry, GGA-PBE.

```
SmVAu
1.0
3.642 0.000 0.000
0.000 3.642 0.000
0.000 0.000 9.888
Sm V Au
2 2 2
Direct
0.000 0.000 0.188
0.000 0.000 0.812
0.500 0.500 0.400
0.500 0.500 0.600
0.000 0.000 0.500
0.500 0.500 0.000
```

- SG = P4/mmm, No. 123
- V (Å³ per atom) = 21.9
- energy relative to the elements (eV/atom) = -0.102
- density of states at the Fermi level (states/eV per cell) = 7.27

# 4
GaTe5Pt3: optimized geometry, GGA-PBE.

```
GaTe5Pt3
1.0
6.210 -4.322 0.000
6.210 4.322 0.000
-3.498 0.000 8.926
Ga Te Pt
2 10 6
Direct
0.105 0.105 0.313
0.895 0.895 0.687
0.051 0.651 0.304
0.225 0.225 0.055
0.305 0.695 0.000
0.349 0.949 0.696
0.435 0.435 0.646
0.565 0.565 0.354
0.651 0.051 0.304
0.695 0.305 0.000
0.775 0.775 0.945
0.949 0.349 0.696
0.000 0.000 0.000
0.000 0.000 0.500
0.318 0.318 0.356
0.322 0.322 0.839
0.678 0.678 0.161
0.682 0.682 0.644
```

- SG = C2/m, No. 12
- V (Å³ per atom) = 26.6
- formation energy from raw total energies (meV/atom) = -200
- density of states at the Fermi level (states/eV per cell) = 11.83

# 5
CoReSe2Br: optimized geometry, GGA-PBE.

```
CoReSe2Br
1.0
4.777 0.000 0.000
0.000 4.777 0.000
0.000 0.000 5.430
Co Re Se Br
1 1 2 1
Direct
0.000 0.000 0.000
0.500 0.500 0.500
0.000 0.500 0.500
0.500 0.000 0.500
0.500 0.500 0.000
```

- SG = P4/mmm, No. 123
- V (Å³ per atom) = 24.8
- formation energy from raw total energies (meV/atom) = 938
- density of states at the Fermi level (states/eV per cell) = 4.83

# 6
TbZn4Ag8: optimized geometry, GGA-PBE.

```
TbZn4Ag8
1.0
-4.685 4.685 2.642
4.685 -4.685 2.642
4.685 4.685 -2.642
Tb Zn Ag
1 4 8
Direct
0.000 0.000 0.000
0.000 0.000 0.500
0.000 0.500 0.000
0.500 0.000 0.000
0.500 0.500 0.500
0.000 0.346 0.346
0.000 0.654 0.654
0.285 0.500 0.785
0.346 0.000 0.346
0.500 0.285 0.785
0.500 0.715 0.215
0.654 0.000 0.654
0.715 0.500 0.215
```

- SG = I4/mmm, No. 139
- V (Å³ per atom) = 17.8
- energy relative to the elements (eV/atom) = -0.132
- density of states at the Fermi level (states/eV per cell) = 5.46

# 7
MgAl2O: optimized geometry, GGA-PBE.

```
MgAl2O
1.0
0.000 3.227 3.227
3.227 0.000 3.227
3.227 3.227 0.000
Mg Al O
1 2 1
Direct
0.000 0.000 0.000
0.250 0.250 0.250
0.750 0.750 0.750
0.500 0.500 0.500
```

- SG = Fm-3m, No. 225
- V (Å³ per atom) = 16.8
- formation energy from raw total energies (meV/atom) = 266
- density of states at the Fermi level (states/eV per cell) = 1.25

# 8
TiBO2: optimized geometry, GGA-PBE.

```
TiBO2
1.0
1.389 0.802 5.554
-1.389 0.802 5.554
0.000 -1.604 5.554
Ti B O
1 1 2
Direct
0.000 0.000 0.000
0.500 0.500 0.500
0.419 0.419 0.419
0.581 0.581 0.581
```

- SG = R-3m, No. 166
- V (Å³ per atom) = 9.3
- formation energy from raw total energies (meV/atom) = -1546
- density of states at the Fermi level (states/eV per cell) = 1.92

# 9
InTe2Pt: optimized geometry, GGA-PBE.

```
InTe2Pt
1.0
2.041 -3.608 0.000
2.041 3.608 0.000
0.000 0.000 8.093
In Te Pt
1 2 1
Direct
0.000 0.000 0.000
0.500 0.500 0.293
0.500 0.500 0.707
0.000 0.000 0.500
```

- SG = Cmmm, No. 65
- V (Å³ per atom) = 29.8
- formation energy from raw total energies (meV/atom) = 17
- density of states at the Fermi level (states/eV per cell) = 2.68

# 10
PtIBrN2: optimized geometry, GGA-PBE.

```
PtIBrN2
1.0
3.925 0.000 0.000
0.000 3.925 0.000
0.000 0.000 8.688
Pt I Br N
1 1 1 2
Direct
0.000 0.000 0.000
0.000 0.000 0.500
0.500 0.500 0.500
0.000 0.500 0.000
0.500 0.000 0.000
```

- SG = P4/mmm, No. 123
- V (Å³ per atom) = 26.8
- formation energy from raw total energies (meV/atom) = 1260
- density of states at the Fermi level (states/eV per cell) = 3.88

# 11
RbAg2PbCl8: optimized geometry, GGA-PBE.

```
RbAg2PbCl8
1.0
-3.663 3.663 6.399
3.663 -3.663 6.399
3.663 3.663 -6.399
Rb Ag Pb Cl
1 2 1 8
Direct
0.000 0.000 0.000
0.500 0.500 0.000
0.750 0.250 0.500
0.250 0.750 0.500
0.026 0.398 0.961
0.198 0.468 0.636
0.437 0.065 0.039
0.438 0.802 0.271
0.532 0.168 0.729
0.602 0.563 0.628
0.832 0.562 0.364
0.935 0.974 0.372
```

- SG = I-4, No. 82
- V (Å³ per atom) = 28.6
- formation energy from raw total energies (meV/atom) = -730
- density of states at the Fermi level (states/eV per cell) = 3.13

# 12
Cd2SbSe: optimized geometry, GGA-PBE.

```
Cd2SbSe
1.0
3.534 0.000 0.000
0.000 3.534 0.000
0.000 0.000 7.790
Cd Sb Se
2 1 1
Direct
0.000 0.000 0.000
0.500 0.500 0.250
0.000 0.000 0.538
0.500 0.500 0.750
```

- SG = P4mm, No. 99
- V (Å³ per atom) = 24.3
- formation energy from raw total energies (meV/atom) = 90
- density of states at the Fermi level (states/eV per cell) = 2.15